# 1
Compound: BeMo2Cl
Source: Alexandria
Functional: GGA-PBE
Structure: relaxed

```
BeMo2Cl
1.0
4.805 -0.017 0.000
1.811 4.451 0.000
-3.308 -2.217 2.690
Be Mo Cl
1 2 1
direct
0.500 0.500 0.000
0.000 0.000 0.000
0.250 0.750 0.500
0.750 0.250 0.500
```

Values from the calculation:
- M_tot (μB per cell) = 0.00
- formation energy (no corrections) (meV per atom) = 812
- total energy (eV for the cell shown) = -23.988
- energy above the lowest structure with this stoichiometry (eV/atom) = 0.592
- space-group type = I-4m2 (119)


# 2
Compound: Pm2Y2Er15
Source: Alexandria
Functional: GGA-PBE
Structure: relaxed

```
Pm2Y2Er15
1.0
-7.114 -3.957 2.992
2.076 -8.237 -1.746
2.877 -2.458 7.803
Pm Y Er
2 2 15
direct
0.328 0.328 0.328
0.672 0.672 0.672
0.101 0.101 0.101
0.899 0.899 0.899
0.000 0.000 0.500
0.500 0.000 0.000
0.000 0.500 0.000
0.300 0.700 0.000
0.000 0.300 0.700
0.700 0.000 0.300
0.000 0.700 0.300
0.300 0.000 0.700
0.700 0.300 0.000
0.634 0.634 0.149
0.149 0.634 0.634
0.634 0.149 0.634
0.366 0.366 0.851
0.851 0.366 0.366
0.366 0.851 0.366
```

Values from the calculation:
- M_tot (μB per cell) = 0.00
- total energy (eV for the cell shown) = -85.543
- DFT formation energy (kJ per mole of atoms) = 27.06
- space-group type = R-3m (166)


# 3
Compound: Mg4BeSb
Source: Alexandria
Functional: GGA-PBE
Structure: relaxed

```
Mg4BeSb
1.0
5.278 -1.969 0.970
2.673 1.275 4.890
0.858 -4.061 3.931
Mg Be Sb
4 1 1
direct
0.876 0.375 0.375
0.375 0.375 0.876
0.375 0.876 0.375
0.375 0.375 0.375
0.000 0.000 0.000
0.750 0.750 0.750
```

Values from the calculation:
- M_tot (μB per cell) = 0.00
- formation energy (no corrections) (meV per atom) = 390
- total energy (eV for the cell shown) = -11.890
- space-group type = F-43m (216)


# 4
Compound: ZrMnBe2
Source: Alexandria
Functional: GGA-PBE
Structure: relaxed

```
ZrMnBe2
1.0
2.819 0.114 0.000
-0.115 2.819 0.000
0.000 0.000 6.554
Be Mn Zr
2 1 1
direct
0.000 0.000 0.067
0.500 0.500 0.232
0.000 0.000 0.445
0.500 0.500 0.756
```

Values from the calculation:
- M_tot (μB per cell) = 2.63
- total energy (eV for the cell shown) = -24.749
- DFT formation energy (kJ per mole of atoms) = 10.15
- energy above the lowest structure with this stoichiometry (eV/atom) = 0.151
- space-group type = P4mm (99)


# 5
Compound: LiZrV2Se
Source: Alexandria
Functional: GGA-PBE
Structure: relaxed

```
LiZrV2Se
1.0
-3.653 0.431 2.359
-1.564 -3.395 -1.801
1.743 -2.474 3.151
Li Se Zr V
1 1 1 2
direct
0.000 0.000 0.000
0.000 0.500 0.000
0.500 0.500 0.500
0.000 0.000 0.500
0.500 0.000 0.000
```

Values from the calculation:
- M_tot (μB per cell) = 0.00
- formation energy (no corrections) (meV per atom) = 671
- total energy (eV for the cell shown) = -28.831
- space-group type = P4/mmm (123)


# 6
Compound: RbHg3Pt
Source: Alexandria
Functional: GGA-PBE
Structure: relaxed

```
RbHg3Pt
1.0
-1.594 4.300 -4.646
4.408 -8.756 -9.617
-5.894 -2.573 -0.359
Rb Hg Pt
4 12 4
direct
0.000 0.000 0.500
0.500 0.500 0.000
0.500 0.000 0.000
0.000 0.500 0.500
0.994 0.871 0.933
0.506 0.371 0.433
0.506 0.129 0.433
0.006 0.371 0.067
0.006 0.129 0.067
0.494 0.629 0.567
0.494 0.871 0.567
0.994 0.629 0.933
0.681 0.250 0.808
0.819 0.750 0.308
0.319 0.750 0.192
0.181 0.250 0.692
0.869 0.250 0.411
0.631 0.750 0.911
0.131 0.750 0.589
0.369 0.250 0.089
```

Values from the calculation:
- M_tot (μB per cell) = 0.00
- total energy (eV for the cell shown) = -33.097
- DFT formation energy (kJ per mole of atoms) = -6.96
- energy above the lowest structure with this stoichiometry (eV/atom) = 0.210
- space-group type = Pnma (62)


# 7
Compound: Ca2Zn12Cu3Ir
Source: Alexandria
Functional: GGA-PBE
Structure: relaxed

```
Ca2Zn12Cu3Ir
1.0
9.913 2.138 1.517
6.755 7.564 1.517
6.755 3.932 6.637
Ca Zn Cu Ir
2 12 3 1
direct
0.645 0.645 0.645
0.355 0.355 0.355
0.413 0.413 0.816
0.918 0.918 0.367
0.367 0.918 0.918
0.816 0.413 0.413
0.918 0.367 0.918
0.413 0.816 0.413
0.587 0.587 0.184
0.082 0.082 0.633
0.633 0.082 0.082
0.184 0.587 0.587
0.082 0.633 0.082
0.587 0.184 0.587
0.500 0.000 0.000
0.000 0.500 0.000
0.000 0.000 0.500
0.000 0.000 0.000
```

Values from the calculation:
- M_tot (μB per cell) = 0.00
- total energy (eV for the cell shown) = -40.716
- DFT formation energy (kJ per mole of atoms) = -1.48
- space-group type = R-3m (166)


# 8
Compound: Na2Cu2Te2Se
Source: Alexandria
Functional: GGA-PBE
Structure: relaxed

```
Na2Cu2Te2Se
1.0
-2.952 1.621 2.735
2.269 -0.159 5.982
5.644 5.000 3.139
Na Cu Te Se
2 2 2 1
direct
0.556 0.887 0.827
0.444 0.113 0.173
0.785 0.429 0.626
0.215 0.571 0.374
0.840 0.323 0.360
0.160 0.677 0.640
0.000 0.000 0.000
```

Values from the calculation:
- M_tot (μB per cell) = 0.00
- formation energy (no corrections) (meV per atom) = -458
- total energy (eV for the cell shown) = -23.805
- space-group type = P-1 (2)


# 9
Compound: UCuGe
Source: Alexandria
Functional: GGA-PBE
Structure: relaxed

```
UCuGe
1.0
-2.565 3.056 -0.485
-1.708 -0.868 3.561
5.372 2.366 3.153
U Cu Ge
2 2 2
direct
0.677 0.616 0.816
0.553 0.115 0.570
0.359 0.616 0.180
0.871 0.115 0.206
0.244 0.116 0.951
0.986 0.615 0.435
```

Values from the calculation:
- M_tot (μB per cell) = 1.30
- total energy (eV for the cell shown) = -41.199
- DFT formation energy (kJ per mole of atoms) = -19.22
- space-group type = Cmcm (63)


# 10
Compound: BaCoAs4
Source: Alexandria
Functional: GGA-PBE
Structure: relaxed

```
BaCoAs4
1.0
0.000 4.091 4.091
4.091 0.000 4.091
4.091 4.091 0.000
Ba Co As
1 1 4
direct
0.750 0.750 0.750
0.000 0.000 0.000
0.893 0.369 0.369
0.369 0.369 0.893
0.369 0.893 0.369
0.369 0.369 0.369
```

Values from the calculation:
- M_tot (μB per cell) = 1.68
- total energy (eV for the cell shown) = -26.316
- DFT formation energy (kJ per mole of atoms) = 21.08
- space-group type = F-43m (216)


# 11
Compound: LiTcH2
Source: Alexandria
Functional: GGA-PBE
Structure: relaxed

```
LiTcH2
1.0
-3.027 -0.398 1.579
-2.466 -1.893 -1.465
-0.851 -3.048 1.341
H Tc Li
2 1 1
direct
0.250 0.250 0.250
0.750 0.750 0.750
0.500 0.500 0.500
0.000 0.000 0.000
```

Values from the calculation:
- M_tot (μB per cell) = 0.78
- total energy (eV for the cell shown) = -17.536
- energy above the lowest structure with this stoichiometry (eV/atom) = 0.497
- space-group type = Fm-3m (225)


# 12
Compound: KTa2Ni
Source: Alexandria
Functional: GGA-PBE
Structure: relaxed

```
KTa2Ni
1.0
2.689 0.000 0.000
0.000 5.259 -0.283
0.000 3.162 5.404
K Ni Ta
1 1 2
direct
0.500 0.500 0.500
0.000 0.000 0.500
0.000 0.000 0.000
0.500 0.500 0.000
```

Values from the calculation:
- M_tot (μB per cell) = 0.00
- total energy (eV for the cell shown) = -25.955
- DFT formation energy (kJ per mole of atoms) = 111.67
- energy above the lowest structure with this stoichiometry (eV/atom) = 0.661
- space-group type = P2/m (10)


What is the total energy in the tenth record?
-26.316 eV for the cell shown


Look up the M_tot of the tenth one.
1.68 μB per cell


The lowest total energy belongs to which entry?
Pm2Y2Er15